# 1
First-principles (GGA-PBE) data for a relaxed structure of RbNa2Sm, as listed in Alexandria.

a b c (Å): 3.7386 3.7386 43.6962
angles (deg): 90.00 90.00 120.00
With the nearest neighbours (Å) after each atom.
Space group R-3m (No. 166, hexagonal axes)
Asymmetric unit:
Rb 0.0000 0.0000 0.0000 x3  6 Rb 3.74
Na 0.0000 0.0000 0.4205 x6  1 Sm 3.48, 6 Na 3.74
Sm 0.0000 0.0000 0.5000 x3  2 Na 3.48, 6 Sm 3.74

Computed properties:
The density comes out at 2.7 Mg/m³. The calculation puts the energy relative to the elements at 358 meV/atom.

# 2
First-principles (GGA-PBE) data for a relaxed structure of RbNa2Sn2, as listed in Alexandria.

a b c (Å): 9.4269 9.4269 3.5820
angles (deg): 90.00 90.00 90.00
With the nearest neighbours (Å) after each atom.
Space group P4/mbm (No. 127)
Asymmetric unit:
Rb 0.0000 0.0000 0.0000 x2  4 Na 3.48, 2 Rb 3.58
Na 0.1756 0.3244 0.0000 x4  6 Sn 3.30-3.35, 2 Rb 3.48, 2 Na 3.58
Sn 0.1118 0.6118 0.5000 x4  1 Sn 2.98, 4 Na 3.30

Computed properties:
Its excess energy over the best structure of this formula in the dataset is 0.71 kcal/mol of atoms. The density comes out at 3.8 Mg/m³. The calculation puts the energy relative to the elements at -128 meV/atom.

# 3
First-principles (GGA-PBE) data for a relaxed structure of Rb2NaSn5, as listed in Alexandria.

a b c (Å): 6.5546 6.5546 13.5209
angles (deg): 90.00 90.00 90.00
With the nearest neighbours (Å) after each atom.
Space group I4mm (No. 107)
Asymmetric unit:
Rb 0.0000 0.5000 0.0000 x4  2 Na 3.57, 2 Sn 3.61
Na 0.0000 0.0000 0.1050 x2  4 Sn 3.12
Sn 0.0000 0.0000 0.3886 x2  4 Sn 3.08
Sn 0.2375 0.2375 0.7493 x8  5 Sn 3.08-3.44, 1 Na 3.12

Computed properties:
The density comes out at 4.5 Mg/m³. The calculation puts the energy relative to the elements at -70 meV/atom.

# 4
First-principles (GGA-PBE) data for a relaxed structure of Rb2Na2Sn3, as listed in Alexandria.

a b c (Å): 13.3120 5.6454 7.9003
angles (deg): 90.00 117.90 90.00
With the nearest neighbours (Å) after each atom.
Space group C2/m (No. 12)
Asymmetric unit:
Rb 0.1608 0.0000 0.2852 x4  5 Na 3.81-4.06, 5 Sn 3.84-4.01, 2 Rb 4.19
Na 0.1416 0.0000 0.7811 x4  5 Sn 3.26-3.54
Sn 0.0000 0.5000 0.5000 x2  2 Sn 2.94
Sn 0.0780 0.5000 0.9148 x4  2 Sn 2.94-2.96, 2 Na 3.26

Computed properties:
The density comes out at 3.6 Mg/m³. The calculation puts the energy relative to the elements at -133 meV/atom.

# 5
First-principles (GGA-PBE) data for a relaxed structure of RbNa2Sn2, as listed in Alexandria.

a b c (Å): 5.8351 5.8351 10.8523
angles (deg): 90.00 90.00 90.00
With the nearest neighbours (Å) after each atom.
Space group I4/mmm (No. 139)
Asymmetric unit:
Rb 0.0000 0.0000 0.0000 x2  8 Na 3.98, 10 Sn 4.07-4.34
Na 0.0000 0.5000 0.2500 x4  4 Sn 3.22
Sn 0.0000 0.0000 0.3750 x4  1 Sn 2.71

Computed properties:
Its excess energy over the best structure of this formula in the dataset is 0.51 kcal/mol of atoms. The density comes out at 3.3 Mg/m³. The calculation puts the energy relative to the elements at -136 meV/atom.

# 6
First-principles (GGA-PBE) data for a relaxed structure of Rb2Na4Sn, as listed in Alexandria.

a b c (Å): 8.5122 7.1687 10.8275
angles (deg): 90.00 104.33 90.00
With the nearest neighbours (Å) after each atom.
Space group P2_1/m (No. 11)
Asymmetric unit:
Rb 0.0862 0.2500 0.3990 x2  3 Sn 3.91-4.11, 6 Na 3.99-4.26, 1 Rb 4.06
Rb 0.1361 0.7500 0.9788 x2  1 Sn 3.80, 4 Na 4.05-4.24, 1 Rb 4.06
Na 0.2853 0.7500 0.3786 x2  1 Sn 3.20
Na 0.3635 0.2500 0.0137 x2  1 Sn 3.11
Na 0.3802 0.0027 0.7090 x4  1 Sn 3.18, 1 Na 3.55
Sn 0.0928 0.2500 0.7615 x2  4 Na 3.11-3.20

Computed properties:
Its excess energy over the best structure of this formula in the dataset is 0.00 kcal/mol of atoms. The density comes out at 2.0 Mg/m³. The calculation puts the energy relative to the elements at -33 meV/atom.

# 7
First-principles (GGA-PBE) data for a relaxed structure of Rb5Na4Sn2, as listed in Alexandria.

a b c (Å): 3.8592 15.0783 19.3752
angles (deg): 90.00 90.00 90.00
With the nearest neighbours (Å) after each atom.
Space group Immm (No. 71)
Asymmetric unit:
Rb 0.0000 0.0000 0.0000 x2  2 Rb 3.86, 4 Sn 4.01
Rb 0.0000 0.2653 0.3531 x8  1 Sn 3.60, 1 Na 3.75, 2 Rb 3.86
Na 0.0000 0.1038 0.5000 x4  1 Na 3.13
Na 0.0000 0.5000 0.1584 x4  1 Sn 3.11
Sn 0.0000 0.5000 0.3186 x4  1 Na 3.11

Computed properties:
The density comes out at 2.2 Mg/m³. The calculation puts the energy relative to the elements at 131 meV/atom.

# 8
First-principles (GGA-PBE) data for a relaxed structure of Rb2NaSn, as listed in Alexandria.

a b c (Å): 3.9826 3.9826 43.3270
angles (deg): 90.00 90.00 120.00
With the nearest neighbours (Å) after each atom.
Space group R-3m (No. 166, hexagonal axes)
Asymmetric unit:
Rb 0.0000 0.0000 0.0827 x6  1 Sn 3.58, 6 Rb 3.98
Na 0.0000 0.0000 0.5000 x3  6 Na 3.98, 6 Rb 4.30
Sn 0.0000 0.0000 0.0000 x3  2 Rb 3.58, 6 Sn 3.98

Computed properties:
The density comes out at 2.6 Mg/m³. The calculation puts the energy relative to the elements at 295 meV/atom.

DOS(E_F) readings, ordered: 0.9489 0.2735 0.4119 0.4342 0.4058 0.5628 0.8108 0.7213 states/eV/atom